# MnPWS2 PBE-GGA optimized geometry
# Polymorph energy (0 for the lowest one), kJ/mol of formula units: 0
# E, eV for the cell shown: -33.64
data_MnPWS2
_cell_length_a 4.6091
_cell_length_b 4.6091
_cell_length_c 4.9226
_cell_angle_alpha 90.00
_cell_angle_beta 90.00
_cell_angle_gamma 90.00
_symmetry_space_group_name_H-M 'P 4/m m m'
_symmetry_Int_Tables_number 123
_symmetry_space_group_name_Hall '-P 4 2'
loop_
_atom_site_label
_atom_site_type_symbol
_atom_site_fract_x
_atom_site_fract_y
_atom_site_fract_z
Mn1 Mn 0.0000 0.0000 0.0000
P1 P 0.5000 0.5000 0.0000
W1 W 0.5000 0.5000 0.5000
S1 S 0.0000 0.5000 0.5000

# MnPWS2 PBE-GGA optimized geometry
# Polymorph energy (0 for the lowest one), kJ/mol of formula units: 273
# E, eV for the cell shown: -30.81
data_MnPWS2
_cell_length_a 4.3342
_cell_length_b 4.3342
_cell_length_c 4.3962
_cell_angle_alpha 90.00
_cell_angle_beta 90.00
_cell_angle_gamma 90.00
_symmetry_space_group_name_H-M 'P 4/m m m'
_symmetry_Int_Tables_number 123
_symmetry_space_group_name_Hall '-P 4 2'
loop_
_atom_site_label
_atom_site_type_symbol
_atom_site_fract_x
_atom_site_fract_y
_atom_site_fract_z
Mn1 Mn 0.0000 0.0000 0.0000
P1 P 0.0000 0.0000 0.5000
W1 W 0.5000 0.5000 0.5000
S1 S 0.0000 0.5000 0.0000

# MnP2WS PBE-GGA optimized geometry
# Polymorph energy (0 for the lowest one), kJ/mol of formula units: 27
# E, eV for the cell shown: -31.53
data_MnP2WS
_cell_length_a 4.7421
_cell_length_b 4.7421
_cell_length_c 4.5402
_cell_angle_alpha 90.00
_cell_angle_beta 90.00
_cell_angle_gamma 90.00
_symmetry_space_group_name_H-M 'P 4/m m m'
_symmetry_Int_Tables_number 123
_symmetry_space_group_name_Hall '-P 4 2'
loop_
_atom_site_label
_atom_site_type_symbol
_atom_site_fract_x
_atom_site_fract_y
_atom_site_fract_z
Mn1 Mn 0.0000 0.0000 0.0000
P1 P 0.0000 0.5000 0.5000
W1 W 0.5000 0.5000 0.5000
S1 S 0.5000 0.5000 0.0000

Q: Among the records above, which one has the lowest E?
A: number 1